Entry 1:
Compound: CuNi2Pd2
Source: OQMD
Functional: GGA-PBE
Structure: relaxed

The value obtained for the total moment is 1.9 μB per formula unit.

The structure belongs to space group I4/mmm (No. 139); the cell edges are 3.406, 3.406 and 11.953 Å and the angles 90.00°, 90.00° and 90.00°. The inequivalent atoms are Cu at (0.000, 0.000, 0.000), Ni at (0.000, 0.500, 0.250) and Pd at (0.000, 0.000, 0.397).


Entry 2:
Compound: Y3Tm3Te2Pt
Source: OQMD
Functional: GGA-PBE
Structure: relaxed

The value obtained for the total moment is 0.6 μB per formula unit.

The structure belongs to space group P-62m (No. 189); the cell edges are 8.3361, 8.3361 and 3.9584 Å and the angles 90.00°, 90.00° and 120.00°. The inequivalent atoms are Y at (0.0000, 0.3999, 0.0000), Tm at (0.0000, 0.7576, 0.5000), Te at (0.3333, 0.6667, 0.5000) and Pt at (0.0000, 0.0000, 0.0000).


Entry 3:
Compound: PmAsIrO
Source: OQMD
Functional: GGA-PBE
Structure: relaxed

The value obtained for the total moment is 0.0 μB per formula unit.

The structure belongs to space group Pmc2_1 (No. 26); the cell edges are 4.443, 4.228 and 7.298 Å and the angles 90.00°, 90.00° and 90.00°. The inequivalent atoms are Pm at (0.000, 0.248, 0.000), As at (0.500, 0.247, 0.668), Ir at (0.500, 0.254, 0.334) and O at (0.000, 0.252, 0.334).


Entry 4:
Compound: HoErTl
Source: OQMD
Functional: GGA-PBE
Structure: relaxed

The value obtained for the total moment is 0.0 μB per formula unit.

The structure belongs to space group F-43m (No. 216); the cell edges are 7.249, 7.249 and 7.249 Å and the angles 90.00°, 90.00° and 90.00°. The inequivalent atoms are Ho at (0.000, 0.000, 0.000), Er at (0.000, 0.000, 0.500) and Tl at (0.250, 0.250, 0.750).


Entry 5:
Compound: NdCd
Source: OQMD
Functional: GGA-PBE
Structure: relaxed

The value obtained for the total moment is 0.0 μB per formula unit.

The structure belongs to space group Fm-3m (No. 225); the cell edges are 6.366, 6.366 and 6.366 Å and the angles 90.00°, 90.00° and 90.00°. The inequivalent atoms are Nd at (0.000, 0.000, 0.000) and Cd at (0.000, 0.000, 0.500).


Entry 6:
Compound: HfFeNiSn
Source: OQMD
Functional: GGA-PBE
Structure: relaxed

The value obtained for the total moment is 1.7 μB per formula unit.

The structure belongs to space group F-43m (No. 216); the cell edges are 6.282, 6.282 and 6.282 Å and the angles 90.00°, 90.00° and 90.00°. The inequivalent atoms are Hf at (0.000, 0.000, 0.000), Fe at (0.250, 0.250, 0.750), Ni at (0.250, 0.250, 0.250) and Sn at (0.000, 0.000, 0.500).


Entry 7:
Compound: Pr4InCu2Ge4
Source: OQMD
Functional: GGA-PBE
Structure: relaxed

The value obtained for the total moment is 0.0 μB per formula unit.

The structure belongs to space group C2/m (No. 12); the cell edges are 16.111, 4.407 and 7.409 Å and the angles 90.00°, 108.95° and 90.00°. The inequivalent atoms are Pr at (0.092, 0.000, 0.384), Pr at (0.153, 0.000, 0.934), In at (0.000, 0.500, 0.000), Cu at (0.215, 0.500, 0.639), Ge at (0.062, 0.500, 0.659) and Ge at (0.204, 0.500, 0.267).


Entry 8:
Compound: GdNi3
Source: OQMD
Functional: GGA-PBE
Structure: relaxed

The value obtained for the total moment is 0.3 μB per formula unit.

The structure belongs to space group P6_3/mmc (No. 194); the cell edges are 5.6872, 5.6872 and 4.2417 Å and the angles 90.00°, 90.00° and 120.00°. The inequivalent atoms are Gd at (0.3333, 0.6667, 0.2500) and Ni at (0.1439, 0.2878, 0.7500).


Entry 9:
Compound: ScCdGaCu
Source: OQMD
Functional: GGA-PBE
Structure: relaxed

The value obtained for the total moment is 0.0 μB per formula unit.

The structure belongs to space group F-43m (No. 216); the cell edges are 6.529, 6.529 and 6.529 Å and the angles 90.00°, 90.00° and 90.00°. The inequivalent atoms are Sc at (0.000, 0.000, 0.000), Cd at (0.250, 0.250, 0.750), Ga at (0.250, 0.250, 0.250) and Cu at (0.000, 0.000, 0.500).


Entry 10:
Compound: Zn
Source: OQMD
Functional: GGA-PBE
Structure: relaxed

The structure belongs to space group Cmce (No. 64); the cell edges are 4.295, 7.595 and 4.427 Å and the angles 90.00°, 90.00° and 90.00°. The inequivalent atoms are Zn at (0.000, 0.158, 0.082).


Entry 11:
Compound: NaCoTcAg
Source: OQMD
Functional: GGA-PBE
Structure: relaxed

The value obtained for the total moment is 3.8 μB per formula unit.

The structure belongs to space group F-43m (No. 216); the cell edges are 6.345, 6.345 and 6.345 Å and the angles 90.00°, 90.00° and 90.00°. The inequivalent atoms are Na at (0.000, 0.000, 0.000), Co at (0.250, 0.250, 0.750), Tc at (0.000, 0.000, 0.500) and Ag at (0.250, 0.250, 0.250).


Entry 12:
Compound: BaZrAl2
Source: OQMD
Functional: GGA-PBE
Structure: relaxed

The value obtained for the total moment is 2.3 μB per formula unit.

The structure belongs to space group F-43m (No. 216); the cell edges are 7.342, 7.342 and 7.342 Å and the angles 90.00°, 90.00° and 90.00°. The inequivalent atoms are Ba at (0.000, 0.000, 0.000), Zr at (0.250, 0.250, 0.250), Al at (0.000, 0.000, 0.500) and Al at (0.250, 0.250, 0.750).


Computed VASP energy (eV/cell) in order:
-47.00 -53.53 -56.83 -46.40 -22.48 -116.53 -110.29 -44.85 -59.36 -8.59 -73.28 -63.98